Entry 1:
! Na3ZrCo, relaxed, DFT PBE-GGA; values from VASP
&SYSTEM
  ibrav = 0, nat = 5, ntyp = 3
/
ATOMIC_SPECIES
Na 22.99 Na.upf
Zr 91.22 Zr.upf
Co 58.93 Co.upf
CELL_PARAMETERS angstrom
5.069 0.000 0.000
0.000 5.069 0.000
0.000 0.000 5.069
ATOMIC_POSITIONS crystal
Na 0.000 0.000 0.500
Na 0.000 0.500 0.000
Na 0.500 0.000 0.000
Zr 0.500 0.500 0.500
Co 0.000 0.000 0.000
! space-group type	Pm-3m
! formation energy	1.389	eV/atom
! DFT total energy	-12.7	eV for the cell shown

***

Entry 2:
! NaZr3Co, relaxed, DFT PBE-GGA; values from VASP
&SYSTEM
  ibrav = 0, nat = 5, ntyp = 3
/
ATOMIC_SPECIES
Na 22.99 Na.upf
Zr 91.22 Zr.upf
Co 58.93 Co.upf
CELL_PARAMETERS angstrom
4.880 0.000 0.000
0.000 4.880 0.000
0.000 0.000 4.880
ATOMIC_POSITIONS crystal
Na 0.000 0.000 0.000
Zr 0.000 0.000 0.500
Zr 0.000 0.500 0.000
Zr 0.500 0.000 0.000
Co 0.500 0.500 0.500
! space-group type	Pm-3m
! offset from the most stable computed form	7.56	eV per formula unit
! formation energy	1.880	eV/atom
! DFT total energy	-24.7	eV for the cell shown

***

Entry 3:
! NaZr2Co2, relaxed, DFT PBE-GGA; values from VASP
&SYSTEM
  ibrav = 0, nat = 10, ntyp = 3
/
ATOMIC_SPECIES
Na 22.99 Na.upf
Zr 91.22 Zr.upf
Co 58.93 Co.upf
CELL_PARAMETERS angstrom
7.574 0.000 0.000
0.000 7.574 0.000
0.000 0.000 3.115
ATOMIC_POSITIONS crystal
Na 0.000 0.000 0.000
Na 0.500 0.500 0.000
Zr 0.150 0.350 0.500
Zr 0.350 0.850 0.500
Zr 0.650 0.150 0.500
Zr 0.850 0.650 0.500
Co 0.134 0.634 0.000
Co 0.366 0.134 0.000
Co 0.634 0.866 0.000
Co 0.866 0.366 0.000
! space-group type	P4/mbm
! offset from the most stable computed form	0.00	eV per formula unit
! formation energy	0.028	eV/atom
! DFT total energy	-65.0	eV for the cell shown

***

Entry 4:
! NaZr2Co2, relaxed, DFT PBE-GGA; values from VASP
&SYSTEM
  ibrav = 0, nat = 5, ntyp = 3
/
ATOMIC_SPECIES
Na 22.99 Na.upf
Zr 91.22 Zr.upf
Co 58.93 Co.upf
CELL_PARAMETERS angstrom
-1.712 1.712 9.468
1.712 -1.712 9.468
1.712 1.712 -9.468
ATOMIC_POSITIONS crystal
Na 0.000 0.000 0.000
Zr 0.349 0.349 0.000
Zr 0.651 0.651 0.000
Co 0.250 0.750 0.500
Co 0.750 0.250 0.500
! space-group type	I4/mmm
! offset from the most stable computed form	1.41	eV per formula unit
! formation energy	0.310	eV/atom
! DFT total energy	-31.1	eV for the cell shown

***

Entry 5:
! NaZr3Co, relaxed, DFT PBE-GGA; values from VASP
&SYSTEM
  ibrav = 0, nat = 5, ntyp = 3
/
ATOMIC_SPECIES
Na 22.99 Na.upf
Zr 91.22 Zr.upf
Co 58.93 Co.upf
CELL_PARAMETERS angstrom
4.939 0.000 0.000
0.000 4.939 0.000
0.000 0.000 4.939
ATOMIC_POSITIONS crystal
Na 0.000 0.000 0.000
Zr 0.000 0.500 0.500
Zr 0.500 0.000 0.500
Zr 0.500 0.500 0.000
Co 0.500 0.500 0.500
! space-group type	Pm-3m
! offset from the most stable computed form	0.00	eV per formula unit
! formation energy	0.368	eV/atom
! DFT total energy	-32.2	eV for the cell shown

***

Entry 6:
! Na2ZrCo2, relaxed, DFT PBE-GGA; values from VASP
&SYSTEM
  ibrav = 0, nat = 5, ntyp = 3
/
ATOMIC_SPECIES
Na 22.99 Na.upf
Zr 91.22 Zr.upf
Co 58.93 Co.upf
CELL_PARAMETERS angstrom
-2.293 2.293 4.054
2.293 -2.293 4.054
2.293 2.293 -4.054
ATOMIC_POSITIONS crystal
Na 0.130 0.130 0.000
Na 0.870 0.870 0.000
Zr 0.500 0.500 0.000
Co 0.250 0.750 0.500
Co 0.750 0.250 0.500
! space-group type	I4/mmm
! offset from the most stable computed form	1.03	eV per formula unit
! formation energy	1.021	eV/atom
! DFT total energy	-20.3	eV for the cell shown

***

Entry 7:
! Nb2Co3, relaxed, DFT PBE-GGA; values from VASP
&SYSTEM
  ibrav = 0, nat = 10, ntyp = 2
/
ATOMIC_SPECIES
Nb 92.91 Nb.upf
Co 58.93 Co.upf
CELL_PARAMETERS angstrom
2.422 -4.152 0.000
2.422 4.152 0.000
0.000 0.000 6.849
ATOMIC_POSITIONS crystal
Nb 0.156 0.844 0.900
Nb 0.344 0.656 0.400
Nb 0.656 0.344 0.600
Nb 0.844 0.156 0.100
Co 0.000 0.000 0.500
Co 0.140 0.360 0.750
Co 0.360 0.140 0.250
Co 0.500 0.500 0.000
Co 0.640 0.860 0.750
Co 0.860 0.640 0.250
! space-group type	Cmce
! formation energy	-0.075	eV/atom
! DFT total energy	-83.7	eV for the cell shown

***

Entry 8:
! NbCo3, relaxed, DFT PBE-GGA; values from VASP
&SYSTEM
  ibrav = 0, nat = 8, ntyp = 2
/
ATOMIC_SPECIES
Nb 92.91 Nb.upf
Co 58.93 Co.upf
CELL_PARAMETERS angstrom
5.183 0.000 0.000
-2.592 4.489 0.000
0.000 0.000 4.155
ATOMIC_POSITIONS crystal
Nb 0.333 0.667 0.250
Nb 0.667 0.333 0.750
Co 0.158 0.315 0.750
Co 0.158 0.842 0.750
Co 0.315 0.158 0.250
Co 0.685 0.842 0.750
Co 0.842 0.158 0.250
Co 0.842 0.685 0.250
! space-group type	P6_3/mmc
! formation energy	-0.162	eV/atom
! DFT total energy	-64.1	eV for the cell shown

***

Entry 9:
! Nb3Co, relaxed, DFT PBE-GGA; values from VASP
&SYSTEM
  ibrav = 0, nat = 4, ntyp = 2
/
ATOMIC_SPECIES
Nb 92.91 Nb.upf
Co 58.93 Co.upf
CELL_PARAMETERS angstrom
-1.631 2.283 4.435
1.631 -2.283 4.435
1.631 2.283 -4.435
ATOMIC_POSITIONS crystal
Nb 0.000 0.000 0.000
Nb 0.257 0.757 0.500
Nb 0.743 0.243 0.500
Co 0.500 0.500 0.000
! space-group type	Immm
! formation energy	0.022	eV/atom
! DFT total energy	-37.2	eV for the cell shown

***

Entry 10:
! Nb5Co, relaxed, DFT PBE-GGA; values from VASP
&SYSTEM
  ibrav = 0, nat = 6, ntyp = 2
/
ATOMIC_SPECIES
Nb 92.91 Nb.upf
Co 58.93 Co.upf
CELL_PARAMETERS angstrom
2.300 -6.759 0.000
2.300 6.759 0.000
0.000 0.000 3.278
ATOMIC_POSITIONS crystal
Nb 0.000 0.000 0.000
Nb 0.164 0.836 0.500
Nb 0.340 0.660 0.000
Nb 0.660 0.340 0.000
Nb 0.836 0.164 0.500
Co 0.500 0.500 0.500
! space-group type	Cmmm
! formation energy	-0.021	eV/atom
! DFT total energy	-57.6	eV for the cell shown

***

Entry 11:
! NbCo6, relaxed, DFT PBE-GGA; values from VASP
&SYSTEM
  ibrav = 0, nat = 7, ntyp = 2
/
ATOMIC_SPECIES
Nb 92.91 Nb.upf
Co 58.93 Co.upf
CELL_PARAMETERS angstrom
-2.952 2.952 2.952
2.952 -2.952 2.952
2.952 2.952 -2.952
ATOMIC_POSITIONS crystal
Nb 0.000 0.000 0.000
Co 0.250 0.500 0.750
Co 0.250 0.750 0.500
Co 0.500 0.250 0.750
Co 0.500 0.750 0.250
Co 0.750 0.250 0.500
Co 0.750 0.500 0.250
! space-group type	Im-3m
! offset from the most stable computed form	7.66	eV per formula unit
! formation energy	1.100	eV/atom
! DFT total energy	-45.0	eV for the cell shown

***

Entry 12:
! NbCo3, relaxed, DFT PBE-GGA; values from VASP
&SYSTEM
  ibrav = 0, nat = 24, ntyp = 2
/
ATOMIC_SPECIES
Nb 92.91 Nb.upf
Co 58.93 Co.upf
CELL_PARAMETERS angstrom
4.720 0.000 0.000
-2.360 4.087 0.000
0.000 0.000 15.466
ATOMIC_POSITIONS crystal
Nb 0.000 0.000 0.092
Nb 0.000 0.000 0.908
Nb 0.333 0.667 0.649
Nb 0.333 0.667 0.841
Nb 0.667 0.333 0.159
Nb 0.667 0.333 0.351
Co 0.000 0.000 0.415
Co 0.000 0.000 0.585
Co 0.000 0.500 0.000
Co 0.000 0.500 0.500
Co 0.163 0.326 0.253
Co 0.163 0.837 0.253
Co 0.326 0.163 0.747
Co 0.333 0.667 0.128
Co 0.333 0.667 0.375
Co 0.500 0.000 0.000
Co 0.500 0.000 0.500
Co 0.500 0.500 0.000
Co 0.500 0.500 0.500
Co 0.667 0.333 0.625
Co 0.667 0.333 0.872
Co 0.674 0.837 0.253
Co 0.837 0.163 0.747
Co 0.837 0.674 0.747
! space-group type	P-3m1
! formation energy	-0.091	eV/atom
! DFT total energy	-190.5	eV for the cell shown

***

- What is the DFT total energy in the seventh record?
  -83.7 eV for the cell shown

***

- The lowest DFT total energy belongs to which entry?
  number 12